# 1
MnGeTeRh2 | GGA-PBE | optimized geometry

Unit cell a=4.856 b=4.856 c=4.671 alpha=90.00 beta=90.00 gamma=90.00
Sites, in units of the cell vectors:
Mn (0.000, 0.000, 0.000)
Ge (0.500, 0.500, 0.000)
Te (0.000, 0.000, 0.500)
Rh (0.000, 0.500, 0.500)
Rh (0.500, 0.000, 0.500)

## Properties
As for the symmetry: P4/mmm (123). The value obtained for the formation energy (no corrections) is 107.14 kJ per mole of atoms.


# 2
BaLa2Y | GGA-PBE | optimized geometry

Unit cell a=6.547 b=6.547 c=6.801 alpha=98.43 beta=98.43 gamma=33.47
Sites, in units of the cell vectors:
Ba (0.000, 0.000, 0.000)
La (0.242, 0.242, 0.721)
La (0.758, 0.758, 0.279)
Y (0.500, 0.500, 0.500)

## Properties
As for the symmetry: C2/m (12). The formation energy comes out at 147 meV per atom. As for the polymorph energy (0 for the lowest one): 0.041 eV/atom.


# 3
Pr4NdEr | GGA-PBE | optimized geometry

Unit cell a=6.229 b=6.229 c=11.761 alpha=118.28 beta=118.28 gamma=32.75
Sites, in units of the cell vectors:
Pr (0.186, 0.186, 0.341)
Pr (0.190, 0.190, 0.846)
Pr (0.810, 0.810, 0.154)
Pr (0.814, 0.814, 0.659)
Nd (0.000, 0.000, 0.500)
Er (0.000, 0.000, 0.000)

## Properties
As for the symmetry: C2/m (12). The formation energy comes out at 172 meV per atom. As for the polymorph energy (0 for the lowest one): 0.155 eV/atom.


The records above yield density values of 7.0 5.3 6.8 Mg/m³, respectively.